# PBE with a Hubbard U CrPtF2, optimized geometry
# Energy relative to the lowest polymorph listed for this composition: 81 kJ/mol of formula units
# Volume: 53.3 Å³ per cell
# Magnetization: 3.8 μB/f.u.
data_CrPtF2
_chemical_formula_sum 'Cr1 Pt1 F2'
_space_group_name_H-M_alt 'P 1'
_space_group_IT_number 1
_cell_length_a 4.225
_cell_length_b 4.225
_cell_length_c 4.225
_cell_angle_alpha 60.00
_cell_angle_beta 60.00
_cell_angle_gamma 60.00
loop_
_space_group_symop_operation_xyz
'x,y,z'
loop_
_atom_site_label
_atom_site_fract_x
_atom_site_fract_y
_atom_site_fract_z
Pt1 0.500 0.500 0.500
F1 0.750 0.750 0.750
F2 0.250 0.250 0.250
Cr1 0.000 0.000 0.000